Computed, not measured: Mn6FeO12 after structural relaxation at the PBE with a Hubbard U level of DFT.

Summary:
Spin magnetization = 24.000 μB per cell
E = -135.0 eV per cell

Cell and atoms, written as POSCAR:
```
Mn6FeO12
1.0
4.306 2.486 3.118
-4.306 2.486 3.118
0.000 -4.972 3.118
Mn Fe O
6 1 12
direct
0.076 0.603 0.782
0.218 0.924 0.397
0.397 0.218 0.924
0.603 0.782 0.076
0.782 0.076 0.603
0.924 0.397 0.218
0.500 0.500 0.500
0.061 0.900 0.675
0.100 0.326 0.939
0.191 0.569 0.415
0.325 0.939 0.100
0.415 0.191 0.569
0.431 0.585 0.809
0.569 0.415 0.191
0.585 0.809 0.431
0.674 0.061 0.900
0.809 0.431 0.585
0.900 0.675 0.061
0.939 0.100 0.326
```